VASP calculation (PBE) on a geometry-optimized Y2AlIn2 structure.

abc: 7.967 7.967 4.392
angles: 90.00 90.00 90.00
Positions (direct):
Y1 0.341 0.841 0.000
Y2 0.841 0.659 0.000
Y3 0.659 0.159 0.000
Y4 0.159 0.341 0.000
In1 0.145 0.645 0.500
In2 0.355 0.145 0.500
In3 0.855 0.355 0.500
In4 0.645 0.855 0.500
Al1 0.000 0.000 0.000
Al2 0.500 0.500 0.000

Calculated values
* distance to the lowest polymorph of the same formula: 0.306 eV per atom
* space group: No. 127
* DOS at the Fermi energy: 9.78 states/eV per cell
* formation enthalpy at 0 K: -151 meV/atom